Density functional theory data (GGA-PBE) for crystalline PmDyLuPu at its relaxed geometry.

The value obtained for the size of the total moment is 25.1 Bohr magnetons per cell. Its formation enthalpy at 0 K is 0.197 eV per atom. For the calculated total energy, the calculation gives -109.7 eV/cell.

It has space group F-43m (No. 216), with a = 7.906 Å, b = 7.906 Å, c = 7.906 Å, α = 90.00°, β = 90.00° and γ = 90.00°. Symmetry generates all atoms from Pm at (0.000, 0.000, 0.000), Dy at (0.250, 0.250, 0.750), Lu at (0.250, 0.250, 0.250) and Pu at (0.000, 0.000, 0.500).